Entry 1:
Here is a geometry-optimized LaEr3Os structure from Alexandria. Energies are from PBE.

```
5
Lattice="5.4175 0.0000 0.0000 0.0000 5.4175 0.0000 0.0000 0.0000 5.4175" Properties=species:S:1:pos:R:3 pbc="T T T"
Er 0.0000 2.7088 0.0000
Er 0.0000 0.0000 2.7088
Er 2.7088 0.0000 0.0000
Os 0.0000 0.0000 0.0000
La 2.7088 2.7088 2.7088
```

Calculated values
The total moment is 0.00 μB/f.u. Its formation energy is -5 kJ per mole of atoms. The density of states at the Fermi level comes out at 1.37 states/eV/atom.

***

Entry 2:
Here is a geometry-optimized LaErOsPd structure from Alexandria. Energies are from PBE.

```
4
Lattice="4.9773 0.0000 0.0000 2.4886 4.3104 0.0000 2.4886 1.4368 4.0639" Properties=species:S:1:pos:R:3 pbc="T T T"
La 7.4659 4.3104 3.0479
Os 4.9773 2.8736 2.0320
Pd 0.0000 0.0000 0.0000
Er 2.4886 1.4368 1.0160
```

Calculated values
The total moment is 0.00 μB/f.u. Its formation energy is -41 kJ per mole of atoms. The density of states at the Fermi level comes out at 0.74 states/eV/atom.

***

Entry 3:
Here is a geometry-optimized LaErZnOs structure from Alexandria. Energies are from PBE.

```
4
Lattice="-2.9059 3.9360 1.1055 -3.6972 -0.4763 3.3558 0.3807 2.2179 4.4826" Properties=species:S:1:pos:R:3 pbc="T T T"
Zn 0.0000 0.0000 0.0000
La -1.5556 1.4194 2.2360
Os -3.1112 2.8388 4.4720
Er -4.6668 4.2582 6.7080
```

Calculated values
The total moment is 0.00 μB/f.u. Its formation energy is -18 kJ per mole of atoms. The density of states at the Fermi level comes out at 1.04 states/eV/atom.